# 1
## Li2Pm5Ge5 (PBE)

Data for crystalline Li2Pm5Ge5 at its relaxed geometry.

Unit cell a=6.3473 b=6.3473 c=12.2140 alpha=114.05 beta=114.05 gamma=39.80
Fractional positions:
Li: 0.1945 0.1945 0.2474
Li: 0.8055 0.8055 0.7526
Pm: 0.1039 0.1039 0.7738
Pm: 0.1523 0.1523 0.4904
Pm: 0.5000 0.5000 0.0000
Pm: 0.8477 0.8477 0.5096
Pm: 0.8961 0.8961 0.2262
Ge: 0.2213 0.2213 0.0490
Ge: 0.3953 0.3953 0.7192
Ge: 0.5000 0.5000 0.5000
Ge: 0.6047 0.6047 0.2808
Ge: 0.7787 0.7787 0.9510

Values from the calculation:
formation energy	-13.15	kcal/mol of atoms
symmetry	No. 12


# 2
## KCaTe2 (PBE)

Data for crystalline KCaTe2 at its relaxed geometry.

Unit cell a=4.6607 b=4.6607 c=12.0838 alpha=90.00 beta=90.00 gamma=90.00
Fractional positions:
K: 0.0000 0.0000 0.0000
K: 0.5000 0.5000 0.5000
Ca: 0.0000 0.5000 0.2500
Ca: 0.5000 0.0000 0.7500
Te: 0.0000 0.0000 0.5000
Te: 0.0000 0.5000 0.7500
Te: 0.5000 0.0000 0.2500
Te: 0.5000 0.5000 0.0000

Values from the calculation:
uncorrected energy	-25.93	eV per cell
symmetry	No. 119


# 3
## BiSe2NCl (PBE)

Data for crystalline BiSe2NCl at its relaxed geometry.

Unit cell a=5.4223 b=5.4223 c=3.5526 alpha=90.00 beta=90.00 gamma=90.00
Fractional positions:
Bi: 0.0000 0.0000 0.0000
Se: 0.0000 0.5000 0.5000
Se: 0.5000 0.0000 0.5000
N: 0.5000 0.5000 0.0000
Cl: 0.5000 0.5000 0.5000

Values from the calculation:
distance to the lowest polymorph of the same formula	0.096	eV per atom
symmetry	No. 123


# 4
## LiScSb2 (PBE)

Data for crystalline LiScSb2 at its relaxed geometry.

Unit cell a=7.7256 b=7.7256 c=6.3059 alpha=90.00 beta=90.00 gamma=90.00
Fractional positions:
Li: 0.0000 0.0000 0.0000
Li: 0.0000 0.5000 0.2500
Li: 0.5000 0.0000 0.7500
Li: 0.5000 0.5000 0.5000
Sc: 0.0000 0.0000 0.5000
Sc: 0.0000 0.5000 0.7500
Sc: 0.5000 0.0000 0.2500
Sc: 0.5000 0.5000 0.0000
Sb: 0.2294 0.7500 0.1250
Sb: 0.2500 0.2294 0.8750
Sb: 0.2500 0.2706 0.3750
Sb: 0.2706 0.7500 0.6250
Sb: 0.7294 0.2500 0.6250
Sb: 0.7500 0.7294 0.3750
Sb: 0.7500 0.7706 0.8750
Sb: 0.7706 0.2500 0.1250

Values from the calculation:
distance to the lowest polymorph of the same formula	0.186	eV per atom
symmetry	No. 122


# 5
## BaLiHf2S (PBE)

Data for crystalline BaLiHf2S at its relaxed geometry.

Unit cell a=4.9753 b=4.9753 c=5.1400 alpha=90.00 beta=90.00 gamma=90.00
Fractional positions:
Ba: 0.0000 0.0000 0.0000
Li: 0.5000 0.5000 0.0000
Hf: 0.0000 0.5000 0.5000
Hf: 0.5000 0.0000 0.5000
S: 0.5000 0.5000 0.5000

Values from the calculation:
uncorrected energy	-28.23	eV per cell
symmetry	No. 123


# 6
## Mg2TlAg2 (PBE)

Data for crystalline Mg2TlAg2 at its relaxed geometry.

Unit cell a=4.2774 b=4.2774 c=12.7067 alpha=90.00 beta=90.00 gamma=90.00
Fractional positions:
Mg: 0.0000 0.5000 0.2500
Mg: 0.0000 0.5000 0.7500
Mg: 0.5000 0.0000 0.2500
Mg: 0.5000 0.0000 0.7500
Tl: 0.0000 0.0000 0.0000
Tl: 0.5000 0.5000 0.5000
Ag: 0.0000 0.0000 0.3909
Ag: 0.0000 0.0000 0.6091
Ag: 0.5000 0.5000 0.1091
Ag: 0.5000 0.5000 0.8909

Values from the calculation:
distance to the lowest polymorph of the same formula	0.138	eV per atom
formation energy	0.66	kcal/mol of atoms
symmetry	No. 139


# 7
## SiPd12Pb3 (PBE)

Data for crystalline SiPd12Pb3 at its relaxed geometry.

Unit cell a=4.0694 b=4.0694 c=16.1084 alpha=90.00 beta=90.00 gamma=90.00
Fractional positions:
Si: 0.0000 0.0000 0.0000
Pd: 0.0000 0.5000 0.1099
Pd: 0.0000 0.5000 0.3710
Pd: 0.0000 0.5000 0.6290
Pd: 0.0000 0.5000 0.8901
Pd: 0.5000 0.0000 0.1099
Pd: 0.5000 0.0000 0.3710
Pd: 0.5000 0.0000 0.6290
Pd: 0.5000 0.0000 0.8901
Pd: 0.5000 0.5000 0.0000
Pd: 0.5000 0.5000 0.2412
Pd: 0.5000 0.5000 0.5000
Pd: 0.5000 0.5000 0.7588
Pb: 0.0000 0.0000 0.2420
Pb: 0.0000 0.0000 0.5000
Pb: 0.0000 0.0000 0.7580

Values from the calculation:
uncorrected energy	-83.86	eV per cell
symmetry	No. 123


# 8
## Ag2IrAu (PBE)

Data for crystalline Ag2IrAu at its relaxed geometry.

Unit cell a=2.7879 b=4.9623 c=9.9657 alpha=90.00 beta=90.00 gamma=90.00
Fractional positions:
Ag: 0.0000 0.0000 0.0000
Ag: 0.0000 0.5000 0.2410
Ag: 0.5000 0.0000 0.7410
Ag: 0.5000 0.5000 0.5000
Ir: 0.0000 0.0000 0.4953
Ir: 0.5000 0.5000 0.9953
Au: 0.0000 0.5000 0.7561
Au: 0.5000 0.0000 0.2561

Values from the calculation:
distance to the lowest polymorph of the same formula	0.129	eV per atom
formation energy	7.97	kcal/mol of atoms
symmetry	No. 44


# 9
## GdTlAu2 (PBE)

Data for crystalline GdTlAu2 at its relaxed geometry.

Unit cell a=7.1352 b=7.1352 c=7.1352 alpha=90.00 beta=90.00 gamma=90.00
Fractional positions:
Gd: 0.0000 0.0000 0.0000
Gd: 0.0000 0.5000 0.5000
Gd: 0.5000 0.0000 0.5000
Gd: 0.5000 0.5000 0.0000
Tl: 0.0000 0.0000 0.5000
Tl: 0.0000 0.5000 0.0000
Tl: 0.5000 0.0000 0.0000
Tl: 0.5000 0.5000 0.5000
Au: 0.2500 0.2500 0.2500
Au: 0.2500 0.2500 0.7500
Au: 0.2500 0.7500 0.2500
Au: 0.2500 0.7500 0.7500
Au: 0.7500 0.2500 0.2500
Au: 0.7500 0.2500 0.7500
Au: 0.7500 0.7500 0.2500
Au: 0.7500 0.7500 0.7500

Values from the calculation:
distance to the lowest polymorph of the same formula	0.000	eV per atom
formation energy	-13.00	kcal/mol of atoms
symmetry	No. 225


# 10
## Ho3CdHg2 (PBE)

Data for crystalline Ho3CdHg2 at its relaxed geometry.

Unit cell a=3.7172 b=3.7172 c=11.1084 alpha=90.00 beta=90.00 gamma=90.00
Fractional positions:
Ho: 0.0000 0.0000 0.0000
Ho: 0.0000 0.0000 0.3308
Ho: 0.0000 0.0000 0.6692
Cd: 0.5000 0.5000 0.5000
Hg: 0.5000 0.5000 0.1687
Hg: 0.5000 0.5000 0.8313

Values from the calculation:
distance to the lowest polymorph of the same formula	0.000	eV per atom
formation energy	-9.85	kcal/mol of atoms
symmetry	No. 123


# 11
## NaMnS2 (PBE)

Data for crystalline NaMnS2 at its relaxed geometry.

Unit cell a=6.0538 b=6.0538 c=9.4490 alpha=90.00 beta=90.00 gamma=90.00
Fractional positions:
Na: 0.0000 0.0000 0.0000
Na: 0.0000 0.5000 0.2500
Na: 0.5000 0.0000 0.7500
Na: 0.5000 0.5000 0.5000
Mn: 0.0000 0.0000 0.5000
Mn: 0.0000 0.5000 0.7500
Mn: 0.5000 0.0000 0.2500
Mn: 0.5000 0.5000 0.0000
S: 0.1579 0.2500 0.6250
S: 0.2500 0.6579 0.8750
S: 0.2500 0.8421 0.3750
S: 0.3421 0.2500 0.1250
S: 0.6579 0.7500 0.1250
S: 0.7500 0.1579 0.3750
S: 0.7500 0.3421 0.8750
S: 0.8421 0.7500 0.6250

Values from the calculation:
uncorrected energy	-84.88	eV per cell
symmetry	No. 122


# 12
## CoAg4Cl7 (PBE)

Data for crystalline CoAg4Cl7 at its relaxed geometry.

Unit cell a=7.0132 b=7.0132 c=12.8049 alpha=115.71 beta=115.71 gamma=29.46
Fractional positions:
Co: 0.0000 0.0000 0.0000
Ag: 0.0801 0.0801 0.4344
Ag: 0.2281 0.2281 0.8189
Ag: 0.4053 0.4053 0.6389
Ag: 0.7623 0.7623 0.2835
Cl: 0.0562 0.0562 0.6411
Cl: 0.1017 0.1017 0.1954
Cl: 0.3942 0.3942 0.0199
Cl: 0.4188 0.4188 0.3355
Cl: 0.6018 0.6018 0.9819
Cl: 0.7428 0.7428 0.4947
Cl: 0.8901 0.8901 0.8051

Values from the calculation:
uncorrected energy	-36.54	eV per cell
symmetry	No. 8


# 13
## AcNd3Tl2 (PBE)

Data for crystalline AcNd3Tl2 at its relaxed geometry.

Unit cell a=3.7743 b=3.7743 c=13.8034 alpha=90.00 beta=90.00 gamma=90.00
Fractional positions:
Ac: 0.0000 0.0000 0.0000
Nd: 0.5000 0.5000 0.1947
Nd: 0.5000 0.5000 0.5000
Nd: 0.5000 0.5000 0.8053
Tl: 0.0000 0.0000 0.3447
Tl: 0.0000 0.0000 0.6553

Values from the calculation:
distance to the lowest polymorph of the same formula	0.000	eV per atom
formation energy	-5.62	kcal/mol of atoms
symmetry	No. 123


Number 1: density 6.4 g/cm³, M_tot 0.00 μB per formula unit, D(E_F) 0.417 states/eV per atom. Number 2: density 4.2 g/cm³, M_tot 0.00 μB per formula unit, D(E_F) 0.658 states/eV per atom. Number 3: density 6.6 g/cm³, M_tot 0.01 μB per formula unit, D(E_F) 0.670 states/eV per atom. Number 4: density 5.2 g/cm³, M_tot 0.00 μB per formula unit, D(E_F) 0.114 states/eV per atom. Number 5: density 7.0 g/cm³, M_tot 0.00 μB per formula unit, D(E_F) 0.809 states/eV per atom. Number 6: density 6.7 g/cm³, M_tot 0.00 μB per formula unit, D(E_F) 0.353 states/eV per atom. Number 7: density 12.0 g/cm³, M_tot 0.00 μB per formula unit, D(E_F) 0.271 states/eV per atom. Number 8: density 14.6 g/cm³, M_tot 0.16 μB per formula unit, D(E_F) 0.634 states/eV per atom. Number 9: density 13.8 g/cm³, M_tot 7.20 μB per formula unit, D(E_F) 0.608 states/eV per atom. Number 10: density 10.9 g/cm³, M_tot 0.00 μB per formula unit, D(E_F) 0.912 states/eV per atom. Number 11: density 2.7 g/cm³, M_tot 1.02 μB per formula unit, D(E_F) 0.651 states/eV per atom. Number 12: density 4.4 g/cm³, M_tot 0.38 μB per formula unit, D(E_F) 0.412 states/eV per atom. Number 13: density 9.0 g/cm³, M_tot 0.00 μB per formula unit, D(E_F) 1.089 states/eV per atom.